[1]
An optimized crystal structure of CaMg3, computed with GGA-PBE.

```
CaMg3
1.0
-7.6573 -1.8168 0.9612
0.8691 -1.0351 4.9671
9.1247 4.8212 -0.5918
Mg Ca
3 1
direct
0.2106 0.5000 0.9411
0.7894 0.5000 0.0589
0.5000 0.0000 0.0000
0.0000 0.0000 0.0000
```

Values from the calculation:
* D(E_F): 0.595 states/eV per atom
* energy of formation from the pure elements: -0.01 eV/f.u.
* total DFT energy (no corrections): -1.698 eV/atom

[2]
An optimized crystal structure of Sr2VSe4, computed with GGA-PBE.

```
Sr2VSe4
1.0
4.7875 0.0000 0.0000
0.0000 4.7875 0.0000
2.3938 2.3938 8.1292
V Se Sr
1 4 2
direct
0.0000 0.0000 0.0000
0.0000 0.5000 0.0000
0.8350 0.8350 0.3299
0.5000 0.0000 0.0000
0.1650 0.1650 0.6701
0.6469 0.6469 0.7062
0.3531 0.3531 0.2938
```

Values from the calculation:
* formation energy from raw total energies: -1.294 eV/atom
* D(E_F): 0.501 states/eV per atom
* total DFT energy (no corrections): -5.068 eV/atom

[3]
An optimized crystal structure of LiEuErOs, computed with GGA-PBE.

```
LiEuErOs
1.0
4.9403 0.0000 0.0000
2.4702 4.2784 0.0000
2.4702 1.4261 4.0337
Os Eu Er Li
1 1 1 1
direct
0.5000 0.5000 0.5000
0.7500 0.7500 0.7500
0.2500 0.2500 0.2500
0.0000 0.0000 0.0000
```

Values from the calculation:
* D(E_F): 2.047 states/eV per atom
* energy of formation from the pure elements: -0.06 eV/f.u.
* total DFT energy (no corrections): -7.009 eV/atom

[4]
An optimized crystal structure of PmZn10Cd, computed with GGA-PBE.

```
PmZn10Cd
1.0
4.3123 0.0000 0.0000
0.0000 5.2337 0.0000
0.0000 0.0000 9.2870
Zn Cd Pm
10 1 1
direct
0.0000 0.5000 0.1555
0.0000 0.0000 0.3082
0.5000 0.7398 0.7371
0.5000 0.5000 0.0000
0.0000 0.0000 0.6918
0.5000 0.7398 0.2629
0.5000 0.0000 0.5000
0.5000 0.2602 0.2629
0.0000 0.5000 0.8445
0.5000 0.2602 0.7371
0.0000 0.0000 0.0000
0.0000 0.5000 0.5000
```

Values from the calculation:
* D(E_F): 0.335 states/eV per atom
* energy of formation from the pure elements: -1.47 eV/f.u.
* total DFT energy (no corrections): -1.656 eV/atom

[5]
An optimized crystal structure of Sm3ZrP4, computed with GGA-PBE.

```
Sm3ZrP4
1.0
4.0014 0.0000 0.0000
0.0000 6.9378 -0.0522
0.0000 -2.2369 6.5676
Sm P Zr
3 4 1
direct
0.0000 0.0000 0.5000
0.0000 0.5000 0.0000
0.5000 0.5000 0.5000
0.5000 0.7586 0.2414
0.0000 0.7654 0.7654
0.5000 0.2414 0.7586
0.0000 0.2346 0.2346
0.5000 0.0000 0.0000
```

Values from the calculation:
* D(E_F): 0.191 states/eV per atom
* energy of formation from the pure elements: -12.05 eV/f.u.
* total DFT energy (no corrections): -7.049 eV/atom

[6]
An optimized crystal structure of Li6Cd8Pd, computed with GGA-PBE.

```
Li6Cd8Pd
1.0
-1.2393 3.8793 -6.3016
-7.0085 0.9453 -2.5065
-3.2090 6.6200 0.2397
Cd Li Pd
8 6 1
direct
0.4094 0.4094 0.7718
0.8734 0.1699 0.6171
0.5906 0.5906 0.2282
0.3395 0.8734 0.6171
0.1266 0.8301 0.3829
0.6605 0.1266 0.3829
0.1699 0.3395 0.6171
0.8301 0.6605 0.3829
0.5616 0.0462 0.1197
0.0462 0.2725 0.1197
0.4384 0.9538 0.8803
0.9538 0.7275 0.8803
0.2725 0.5616 0.1197
0.7275 0.4384 0.8803
0.0000 0.0000 0.0000
```

Values from the calculation:
* D(E_F): 0.332 states/eV per atom
* energy of formation from the pure elements: -3.47 eV/f.u.
* total DFT energy (no corrections): -1.831 eV/atom
* polymorph energy (0 for the lowest one): 0.0 meV/atom